Here is crystalline ScBePb2Cl at its relaxed geometry from Alexandria. Energies are from PBE-GGA.

a b c (Å): 5.6033 4.6836 5.6033
angles (deg): 90.00 90.00 90.00
Fractional coordinates of all 5 atoms:
Pb 0.0000 0.0000 0.5000
Pb 0.5000 0.0000 0.0000
Sc 0.0000 0.5000 0.0000
Be 0.5000 0.5000 0.5000
Cl 0.0000 0.0000 0.0000

N(E_F), states/eV/atom: 0.821
Raw formation energy, kJ/mol of formula units: 266